--- P ---
# RuRh2 GGA-PBEsol relaxed
data_RuRh2
_chemical_formula_sum 'Ru1 Rh2'
_space_group_name_H-M_alt 'P -3 m 1'
_space_group_IT_number 164
_space_group_name_Hall '-P 3 2"'
_cell_length_a 2.6615
_cell_length_b 2.6615
_cell_length_c 6.5364
_cell_angle_alpha 90.00
_cell_angle_beta 90.00
_cell_angle_gamma 120.00
loop_
_atom_site_label
_atom_site_fract_x
_atom_site_fract_y
_atom_site_fract_z
Ru1 0.0000 0.0000 0.0000
Rh1 0.3333 0.6667 0.6714
# V: 40 Å³/cell



--- Q ---
# RuRh2 GGA-PBEsol relaxed
data_RuRh2
_chemical_formula_sum 'Ru4 Rh8'
_space_group_name_H-M_alt 'C 1 m 1'
_space_group_IT_number 8
_space_group_name_Hall 'C -2y'
_cell_length_a 9.7653
_cell_length_b 2.6865
_cell_length_c 6.3258
_cell_angle_alpha 90.00
_cell_angle_beta 104.14
_cell_angle_gamma 90.00
loop_
_atom_site_label
_atom_site_fract_x
_atom_site_fract_y
_atom_site_fract_z
Ru1 0.0000 0.0000 0.0000
Ru2 0.1614 0.5000 0.3247
Rh1 0.1067 0.5000 0.7192
Rh2 0.2754 0.0000 0.0510
Rh3 0.3298 0.0000 0.6606
Rh4 0.4427 0.5000 0.3831
# V: 161 Å³/cell



Energies relative to the minimum, kJ/mol of atoms: P 0.0; Q 0.5